(1)
Computed, not measured: KBaLi2 after structural relaxation at the PBE level of DFT.

The value obtained for the energy of formation from the pure elements is 0.487 eV/f.u. The calculation puts the energy at -1.590 eV per atom. As for the density of states at the Fermi level: 6.504 states/eV/cell. The crystal system is orthorhombic.

The space group is Amm2 (No. 38) and the conventional cell measures 5.351, 4.847 and 14.032 Å, with angles of 90.00, 90.00 and 90.00 degrees. The inequivalent atoms are K at (0.000, 0.000, 0.000), Ba at (0.500, 0.000, 0.295), Li at (0.000, 0.000, 0.704) and Li at (0.500, 0.000, 0.588).


(2)
Computed, not measured: Zr2Sb2Te after structural relaxation at the PBE level of DFT.

The calculation puts the energy at -6.321 eV per atom. As for the density of states at the Fermi level: 6.893 states/eV/cell. Its formation energy from raw total energies is -60 kJ per mole of atoms. The crystal system is tetragonal.

The space group is P4/mbm (No. 127) and the conventional cell measures 7.995, 7.995 and 3.842 Å, with angles of 90.00, 90.00 and 90.00 degrees. The inequivalent atoms are Zr at (0.153, 0.347, 0.000), Sb at (0.141, 0.641, 0.500) and Te at (0.000, 0.000, 0.000).